[1]
This record from Alexandria describes an optimized crystal structure of CoGeO2. The functional is PBE+U.

Cell: 4.894 4.894 5.937 Å, 65.66 65.66 90.00°
Fractional coordinates of all 8 atoms:
Ge 0.000 0.000 0.000
Ge 0.750 0.250 0.500
Co 0.500 0.500 0.000
Co 0.250 0.750 0.500
O 0.588 0.125 0.250
O 0.162 0.625 0.250
O 0.375 0.412 0.750
O 0.875 0.838 0.750

Summary:
Crystal system: tetragonal
Total magnetic moment (μB/cell): 6.000
Raw total energy (eV/atom): -5.668
SG: No. 122
Fermi-level density of states (states/eV/atom): 0.041

[2]
This record from Alexandria describes an optimized crystal structure of Co2GeO. The functional is PBE+U.

Cell: 5.426 5.426 5.577 Å, 60.89 60.89 90.00°
Fractional coordinates of all 8 atoms:
Ge 0.000 0.000 0.000
Ge 0.750 0.250 0.500
Co 0.554 0.125 0.250
Co 0.196 0.625 0.250
Co 0.375 0.446 0.750
Co 0.875 0.804 0.750
O 0.500 0.500 0.000
O 0.250 0.750 0.500

Summary:
Crystal system: tetragonal
Total magnetic moment (μB/cell): 8.008
Raw total energy (eV/atom): -5.005
SG: No. 122
Fermi-level density of states (states/eV/atom): 0.059
ΔE to the lowest computed polymorph (eV per atom): 0.000

[3]
This record from Alexandria describes an optimized crystal structure of CoGeOsO6. The functional is PBE+U.

Cell: 5.046 5.046 8.845 Å, 90.00 90.00 120.00°
Fractional coordinates of all 18 atoms:
Co 0.000 0.000 0.000
Co 0.000 0.000 0.500
Ge 0.667 0.333 0.250
Ge 0.333 0.667 0.750
Os 0.333 0.667 0.250
Os 0.667 0.333 0.750
O 0.648 0.645 0.133
O 0.997 0.352 0.133
O 0.352 0.997 0.633
O 0.003 0.648 0.867
O 0.355 0.352 0.367
O 0.997 0.645 0.367
O 0.645 0.997 0.867
O 0.648 0.003 0.367
O 0.003 0.355 0.633
O 0.355 0.003 0.133
O 0.645 0.648 0.633
O 0.352 0.355 0.867

Summary:
Crystal system: trigonal
Total magnetic moment (μB/cell): 2.318
Raw total energy (eV/atom): -6.762
SG: No. 163
Fermi-level density of states (states/eV/atom): 0.499

[4]
This record from Alexandria describes an optimized crystal structure of PaCo2GeO6. The functional is PBE+U.

Cell: 4.364 5.665 5.665 Å, 90.00 90.00 90.00°
Fractional coordinates of all 10 atoms:
Pa 0.656 0.500 0.500
Co 0.915 0.500 0.000
Co 0.915 0.000 0.500
Ge 0.613 0.000 0.000
O 0.738 0.230 0.230
O 0.738 0.230 0.770
O 0.177 0.500 0.500
O 0.221 0.000 0.000
O 0.738 0.770 0.770
O 0.738 0.770 0.230

Summary:
Crystal system: tetragonal
Total magnetic moment (μB/cell): 4.999
Raw total energy (eV/atom): -7.069
SG: No. 99
Fermi-level density of states (states/eV/atom): 0.488

[5]
This record from Alexandria describes an optimized crystal structure of PaCoGe2O8. The functional is PBE+U.

Cell: 5.809 5.809 5.809 Å, 107.63 107.63 113.22°
Fractional coordinates of all 12 atoms:
Pa 0.250 0.750 0.500
Co 0.000 0.000 0.000
Ge 0.750 0.250 0.500
Ge 0.500 0.500 0.000
O 0.370 0.060 0.309
O 0.308 0.490 0.183
O 0.308 0.125 0.817
O 0.751 0.060 0.691
O 0.875 0.692 0.183
O 0.940 0.249 0.309
O 0.940 0.630 0.691
O 0.510 0.692 0.817

Summary:
Crystal system: tetragonal
Total magnetic moment (μB/cell): 4.063
Raw total energy (eV/atom): -7.174
SG: No. 119

[6]
This record from Alexandria describes an optimized crystal structure of CoGePb2O. The functional is PBE+U.

Cell: 5.743 3.614 5.743 Å, 90.00 90.00 90.00°
Fractional coordinates of all 5 atoms:
Pb 0.000 0.000 0.500
Pb 0.500 0.000 0.000
Ge 0.500 0.500 0.500
Co 0.000 0.500 0.000
O 0.000 0.000 0.000

Summary:
Crystal system: tetragonal
Total magnetic moment (μB/cell): 2.259
Raw total energy (eV/atom): -4.484
SG: No. 123
Fermi-level density of states (states/eV/atom): 0.406

[7]
This record from Alexandria describes an optimized crystal structure of CoGePbO4. The functional is PBE+U.

Cell: 5.512 5.697 6.685 Å, 90.00 104.28 90.00°
Fractional coordinates of all 14 atoms:
Co 0.809 0.750 0.451
Co 0.191 0.250 0.549
Ge 0.271 0.750 0.347
Ge 0.729 0.250 0.653
Pb 0.731 0.750 0.921
Pb 0.269 0.250 0.079
O 0.951 0.486 0.690
O 0.049 0.986 0.310
O 0.049 0.514 0.310
O 0.951 0.014 0.690
O 0.467 0.750 0.171
O 0.533 0.250 0.829
O 0.502 0.750 0.582
O 0.498 0.250 0.418

Summary:
Crystal system: monoclinic
Total magnetic moment (μB/cell): 6.026
Raw total energy (eV/atom): -5.982
SG: No. 11
Fermi-level density of states (states/eV/atom): 0.000

[8]
This record from Alexandria describes an optimized crystal structure of Pm2CoGeO6. The functional is PBE+U.

Cell: 4.664 5.283 5.283 Å, 90.00 90.00 90.00°
Fractional coordinates of all 10 atoms:
Pm 0.024 0.500 0.000
Pm 0.024 0.000 0.500
Co 0.571 0.500 0.500
Ge 0.597 0.000 0.000
O 0.715 0.239 0.239
O 0.715 0.239 0.761
O 0.160 0.500 0.500
O 0.211 0.000 0.000
O 0.715 0.761 0.761
O 0.715 0.761 0.239

Summary:
Crystal system: tetragonal
Total magnetic moment (μB/cell): 3.000
Raw total energy (eV/atom): -7.176
SG: No. 99
Fermi-level density of states (states/eV/atom): 0.437

[9]
This record from Alexandria describes an optimized crystal structure of CoGePtO2. The functional is PBE+U.

Cell: 3.659 5.270 3.659 Å, 90.00 90.00 90.00°
Fractional coordinates of all 5 atoms:
Ge 0.000 0.000 0.000
Co 0.500 0.500 0.500
O 0.000 0.000 0.500
O 0.500 0.000 0.000
Pt 0.000 0.500 0.000

Summary:
Crystal system: tetragonal
Total magnetic moment (μB/cell): 2.683
Raw total energy (eV/atom): -5.258
SG: No. 123
Fermi-level density of states (states/eV/atom): 0.416

[10]
This record from Alexandria describes an optimized crystal structure of RbCoGe2O. The functional is PBE+U.

Cell: 4.509 5.108 4.509 Å, 90.00 90.00 90.00°
Fractional coordinates of all 5 atoms:
Ge 0.000 0.000 0.500
Ge 0.500 0.000 0.000
Co 0.000 0.000 0.000
O 0.000 0.500 0.000
Rb 0.500 0.500 0.500

Summary:
Crystal system: tetragonal
Total magnetic moment (μB/cell): 1.616
Raw total energy (eV/atom): -3.788
SG: No. 123
Fermi-level density of states (states/eV/atom): 0.361

[11]
This record from Alexandria describes an optimized crystal structure of RbCoGe2O6. The functional is PBE+U.

Cell: 6.573 6.784 6.784 Å, 103.39 90.00 90.00°
Fractional coordinates of all 20 atoms:
Rb 0.250 0.923 0.077
Rb 0.750 0.077 0.923
Co 0.250 0.328 0.672
Co 0.750 0.672 0.328
Ge 0.250 0.775 0.542
Ge 0.250 0.458 0.225
Ge 0.750 0.225 0.458
Ge 0.750 0.542 0.775
O 0.250 0.027 0.655
O 0.250 0.345 0.973
O 0.750 0.973 0.345
O 0.750 0.655 0.027
O 0.435 0.666 0.334
O 0.065 0.666 0.334
O 0.565 0.334 0.666
O 0.935 0.334 0.666
O 0.250 0.626 0.720
O 0.250 0.280 0.374
O 0.750 0.374 0.280
O 0.750 0.720 0.626

Summary:
Crystal system: orthorhombic
Total magnetic moment (μB/cell): 7.978
Raw total energy (eV/atom): -5.873
SG: No. 63

[12]
This record from Alexandria describes an optimized crystal structure of CoGeRh2O. The functional is PBE+U.

Cell: 4.724 3.331 4.724 Å, 90.00 90.00 90.00°
Fractional coordinates of all 5 atoms:
Co 0.000 0.000 0.000
Ge 0.500 0.500 0.500
Rh 0.000 0.000 0.500
Rh 0.500 0.000 0.000
O 0.000 0.500 0.000

Summary:
Crystal system: tetragonal
Total magnetic moment (μB/cell): 2.740
Raw total energy (eV/atom): -5.524
SG: No. 123
Fermi-level density of states (states/eV/atom): 0.660

[13]
This record from Alexandria describes an optimized crystal structure of Co2GeRhO6. The functional is PBE+U.

Cell: 5.076 5.076 5.350 Å, 61.68 61.68 60.00°
Fractional coordinates of all 10 atoms:
Co 0.509 0.509 0.472
Co 0.025 0.025 0.925
Ge 0.309 0.309 0.072
Rh 0.821 0.821 0.536
O 0.590 0.240 0.251
O 0.240 0.918 0.251
O 0.918 0.590 0.251
O 0.425 0.696 0.752
O 0.696 0.127 0.752
O 0.127 0.425 0.752

Summary:
Crystal system: trigonal
Total magnetic moment (μB/cell): 2.929
Raw total energy (eV/atom): -6.258
SG: No. 146

[14]
This record from Alexandria describes an optimized crystal structure of CoGeRh2O6. The functional is PBE+U.

Cell: 5.144 5.144 5.504 Å, 62.14 62.14 60.00°
Fractional coordinates of all 10 atoms:
Co 0.811 0.811 0.566
Ge 0.317 0.317 0.049
Rh 0.516 0.516 0.452
Rh 0.014 0.014 0.957
O 0.597 0.225 0.236
O 0.225 0.941 0.236
O 0.941 0.597 0.236
O 0.417 0.702 0.760
O 0.702 0.120 0.760
O 0.120 0.417 0.760

Summary:
Crystal system: trigonal
Total magnetic moment (μB/cell): 2.904
Raw total energy (eV/atom): -6.444
SG: No. 146

[15]
This record from Alexandria describes an optimized crystal structure of CoGeRhO6. The functional is PBE+U.

Cell: 5.030 5.030 8.595 Å, 90.00 90.00 120.00°
Fractional coordinates of all 18 atoms:
Co 0.000 0.000 0.000
Co 0.000 0.000 0.500
Ge 0.667 0.333 0.250
Ge 0.333 0.667 0.750
Rh 0.333 0.667 0.250
Rh 0.667 0.333 0.750
O 0.656 0.648 0.130
O 0.992 0.344 0.130
O 0.344 0.992 0.630
O 0.008 0.656 0.870
O 0.352 0.344 0.370
O 0.992 0.648 0.370
O 0.648 0.992 0.870
O 0.656 0.008 0.370
O 0.008 0.352 0.630
O 0.352 0.008 0.130
O 0.648 0.656 0.630
O 0.344 0.352 0.870

Summary:
Crystal system: trigonal
Total magnetic moment (μB/cell): 7.318
Raw total energy (eV/atom): -6.128
SG: No. 163
Fermi-level density of states (states/eV/atom): 0.539

[16]
This record from Alexandria describes an optimized crystal structure of CoGeRuO6. The functional is PBE+U.

Cell: 5.021 5.021 8.744 Å, 90.00 90.00 120.00°
Fractional coordinates of all 18 atoms:
Co 0.000 0.000 0.000
Co 0.000 0.000 0.500
Ge 0.667 0.333 0.250
Ge 0.333 0.667 0.750
Ru 0.333 0.667 0.250
Ru 0.667 0.333 0.750
O 0.650 0.646 0.131
O 0.995 0.350 0.131
O 0.350 0.995 0.631
O 0.005 0.650 0.869
O 0.354 0.350 0.369
O 0.995 0.646 0.369
O 0.646 0.995 0.869
O 0.650 0.005 0.369
O 0.005 0.354 0.631
O 0.354 0.005 0.131
O 0.646 0.650 0.631
O 0.350 0.354 0.869

Summary:
Crystal system: trigonal
Total magnetic moment (μB/cell): 2.384
Raw total energy (eV/atom): -6.474
SG: No. 163
Fermi-level density of states (states/eV/atom): 0.522

[17]
This record from Alexandria describes an optimized crystal structure of CoGeSO2. The functional is PBE+U.

Cell: 3.598 5.322 3.598 Å, 90.00 90.00 90.00°
Fractional coordinates of all 5 atoms:
Ge 0.000 0.000 0.000
Co 0.500 0.500 0.500
S 0.000 0.500 0.000
O 0.000 0.000 0.500
O 0.500 0.000 0.000

Summary:
Crystal system: tetragonal
Total magnetic moment (μB/cell): 2.755
Raw total energy (eV/atom): -5.217
SG: No. 123
Fermi-level density of states (states/eV/atom): 0.288

[18]
This record from Alexandria describes an optimized crystal structure of Co2GeSbO6. The functional is PBE+U.

Cell: 5.063 5.063 6.225 Å, 65.95 65.96 60.00°
Fractional coordinates of all 10 atoms:
Co 0.580 0.579 0.261
Co 0.997 0.997 0.010
Ge 0.326 0.326 0.023
Sb 0.789 0.789 0.634
O 0.599 0.221 0.208
O 0.221 0.971 0.208
O 0.971 0.599 0.208
O 0.375 0.721 0.822
O 0.721 0.083 0.821
O 0.083 0.375 0.821

Summary:
Crystal system: trigonal
Total magnetic moment (μB/cell): 3.040
Raw total energy (eV/atom): -6.044
SG: No. 146

[19]
This record from Alexandria describes an optimized crystal structure of Sc2CoGeO6. The functional is PBE+U.

Cell: 5.228 5.229 5.557 Å, 61.93 61.94 60.00°
Fractional coordinates of all 10 atoms:
Sc 0.525 0.525 0.425
Sc 0.023 0.023 0.932
Co 0.807 0.807 0.580
Ge 0.317 0.317 0.049
O 0.585 0.218 0.244
O 0.218 0.953 0.244
O 0.953 0.585 0.244
O 0.419 0.695 0.765
O 0.695 0.121 0.766
O 0.121 0.419 0.765

Summary:
Crystal system: trigonal
Total magnetic moment (μB/cell): 3.021
Raw total energy (eV/atom): -7.655
SG: No. 146
Fermi-level density of states (states/eV/atom): 0.000

[20]
This record from Alexandria describes an optimized crystal structure of ScCo2GeO6. The functional is PBE+U.

Cell: 5.026 5.038 5.409 Å, 61.48 62.63 60.97°
Fractional coordinates of all 10 atoms:
Sc 0.813 0.817 0.560
Co 0.512 0.511 0.462
Co 0.021 0.013 0.949
Ge 0.316 0.317 0.057
O 0.587 0.243 0.249
O 0.239 0.924 0.242
O 0.925 0.599 0.236
O 0.411 0.699 0.750
O 0.703 0.135 0.755
O 0.134 0.402 0.756

Summary:
Crystal system: triclinic
Total magnetic moment (μB/cell): 1.000
Raw total energy (eV/atom): -6.800
SG: No. 1

[21]
This record from Alexandria describes an optimized crystal structure of Sm2CoGeO6. The functional is PBE+U.

Cell: 5.404 5.675 7.698 Å, 90.00 89.73 90.00°
Fractional coordinates of all 20 atoms:
Sm 0.018 0.935 0.250
Sm 0.518 0.565 0.750
Sm 0.982 0.065 0.750
Sm 0.482 0.435 0.250
Co 0.500 0.000 0.000
Co 0.000 0.500 0.500
Ge 0.500 0.000 0.500
Ge 0.000 0.500 0.000
O 0.288 0.688 0.048
O 0.788 0.812 0.548
O 0.712 0.312 0.952
O 0.212 0.188 0.452
O 0.315 0.714 0.446
O 0.815 0.786 0.946
O 0.685 0.286 0.554
O 0.185 0.214 0.054
O 0.901 0.530 0.239
O 0.401 0.970 0.739
O 0.099 0.470 0.761
O 0.599 0.030 0.261

Summary:
Crystal system: monoclinic
Total magnetic moment (μB/cell): 6.032
Raw total energy (eV/atom): -7.371
SG: No. 14
Fermi-level density of states (states/eV/atom): 0.000